A relaxed structure of ZnGa5Co6. Source: Alexandria via LeMat-Bulk, functional PBE-GGA.

Output
E_form: -5.990 kcal/mol of atoms
electronic total energy: -5.180 eV per atom
volume: 286.0 Å³/cell

Cell: 4.0687 12.2125 5.7553 Å, 90.00 90.00 90.00°
With the nearest neighbours (Å) after each atom.
Space group Cmmm (No. 65)
Symmetry-distinct sites (fractional):
Zn: 0.0000 0.0000 0.0000  8 Co 2.51
Ga: 0.0000 0.0000 0.5000  8 Co 2.47-2.51
Ga: 0.0000 0.3332 0.5000  8 Co 2.47-2.49
Ga: 0.0000 0.3366 0.0000  8 Co 2.48-2.51
Co: 0.0000 0.1687 0.2505  7 Ga 2.47-2.51, 1 Zn 2.51
Co: 0.0000 0.5000 0.2555  6 Ga 2.47-2.48, 2 Zn 2.51